7
Lattice="-3.774 -1.569 3.228 0.775 -4.930 -1.490 6.960 2.315 5.060" Properties=species:S:1:pos:R:3 comment="HoTm4Sb2 (GGA-PBE, relaxed)" spacegroup="I4/mmm, No. 139" e_form_raw_ev_per_atom=0.322 pbc="T T T"
Tm 1.959 -3.841 4.624
Sb 4.006 -0.686 4.350
Tm 0.387 -2.465 -0.745
Ho 0.000 0.000 0.000
Tm -1.887 -0.784 1.614
Sb -0.046 -3.498 2.447
Tm 2.002 -0.343 2.174